Run one
First-principles (GGA-PBE) data for a geometry-optimized HfHg3B structure, as listed in the Alexandria database.

```
5
Lattice="4.6342 0.0000 0.0000 0.0000 4.6342 0.0000 0.0000 0.0000 4.6342" Properties=species:S:1:pos:R:3 pbc="T T T"
Hf 0.0000 0.0000 0.0000
Hg 0.0000 2.3171 2.3171
Hg 2.3171 0.0000 2.3171
Hg 2.3171 2.3171 0.0000
B 2.3171 2.3171 2.3171
```

Properties
spin magnetization: 0.0 μB per formula unit

---

Run two
First-principles (GGA-PBE) data for a geometry-optimized HfHg3B structure, as listed in the Alexandria database.

```
5
Lattice="5.5740 0.0000 0.0000 0.0000 5.5740 0.0000 0.0000 0.0000 5.5740" Properties=species:S:1:pos:R:3 pbc="T T T"
Hf 0.0000 0.0000 0.0000
Hg 0.0000 0.0000 2.7870
Hg 0.0000 2.7870 0.0000
Hg 2.7870 0.0000 0.0000
B 2.7870 2.7870 2.7870
```

Properties
spin magnetization: 1.3 μB per formula unit

---

Which structure is the least stable? The one labeled run two.

---

Run one
First-principles (GGA-PBE) data for a geometry-optimized HfBI2 structure, as listed in the Alexandria database.

```
8
Lattice="-3.7810 3.7810 3.3671 3.7810 -3.7810 3.3671 3.7810 3.7810 -3.3671" Properties=species:S:1:pos:R:3 pbc="T T T"
Hf 0.0000 0.0000 0.0000
Hf 0.0000 3.7810 1.6836
B 3.7810 0.0000 1.6836
B 0.0000 0.0000 3.3671
I 1.8905 -1.7259 2.5253
I 2.0551 1.8905 0.8418
I 1.8905 5.5070 -0.8418
I 1.7259 1.8905 4.2089
```

Properties
spin magnetization: 0.0 μB per formula unit

---

Run two
First-principles (GGA-PBE) data for a geometry-optimized HfBI2 structure, as listed in the Alexandria database.

```
4
Lattice="0.0000 3.5366 3.5366 3.5366 0.0000 3.5366 3.5366 3.5366 0.0000" Properties=species:S:1:pos:R:3 pbc="T T T"
Hf 0.0000 0.0000 0.0000
B 3.5366 3.5366 3.5366
I 1.7683 1.7683 1.7683
I 5.3050 5.3050 5.3050
```

Properties
spin magnetization: 0.0 μB per formula unit

---

Which structure is the least stable? The one labeled run one.

---

Run one
First-principles (GGA-PBE) data for a geometry-optimized HfBI2N structure, as listed in the Alexandria database.

```
5
Lattice="5.8696 0.0000 0.0000 0.0000 5.8696 0.0000 0.0000 0.0000 3.9762" Properties=species:S:1:pos:R:3 pbc="T T T"
Hf 0.0000 0.0000 0.0000
B 2.9348 2.9348 1.9881
I 0.0000 2.9348 0.0000
I 2.9348 0.0000 0.0000
N 0.0000 0.0000 1.9881
```

Properties
spin magnetization: 0.0 μB per formula unit

---

Run two
First-principles (GGA-PBE) data for a geometry-optimized HfBI2N structure, as listed in the Alexandria database.

```
5
Lattice="6.5188 0.0000 0.0000 0.0000 6.5188 0.0000 0.0000 0.0000 2.7969" Properties=species:S:1:pos:R:3 pbc="T T T"
Hf 0.0000 0.0000 0.0000
B 3.2594 3.2594 1.3984
I 0.0000 3.2594 1.3984
I 3.2594 0.0000 1.3984
N 3.2594 3.2594 0.0000
```

Properties
spin magnetization: 0.0 μB per formula unit

---

Which structure is the least stable? The one labeled run one.

---

Run one
First-principles (GGA-PBE) data for a geometry-optimized HfBSbI2 structure, as listed in the Alexandria database.

```
5
Lattice="4.8460 0.0000 0.0000 0.0000 4.8460 0.0000 0.0000 0.0000 5.0942" Properties=species:S:1:pos:R:3 pbc="T T T"
Hf 0.0000 0.0000 0.0000
B 2.4230 2.4230 2.5471
Sb 2.4230 2.4230 0.0000
I 0.0000 2.4230 2.5471
I 2.4230 0.0000 2.5471
```

Properties
spin magnetization: 0.0 μB per formula unit

---

Run two
First-principles (GGA-PBE) data for a geometry-optimized HfBSbI2 structure, as listed in the Alexandria database.

```
5
Lattice="5.6168 0.0000 0.0000 0.0000 5.6168 0.0000 0.0000 0.0000 5.6998" Properties=species:S:1:pos:R:3 pbc="T T T"
Hf 0.0000 0.0000 0.0000
B 2.8084 2.8084 2.8499
Sb 0.0000 0.0000 2.8499
I 0.0000 2.8084 0.0000
I 2.8084 0.0000 0.0000
```

Properties
spin magnetization: 0.0 μB per formula unit

---

Which structure is the least stable? The one labeled run two.